Entry 1:
{"formula": "BaBPd", "functional": "PBE-GGA", "state": "relaxed", "e_above_lowest_polymorph_mev_per_atom": 154, "lattice": [[-2.1343, 0.4651, 4.2241], [-4.1898, 2.2274, 0.3146], [-3.9443, -2.4782, 0.9567]], "species": ["B", "Ba", "Pd"], "frac_coords": [[0.2500, 0.2500, 0.2500], [0.7500, 0.7500, 0.7500], [0.0000, 0.0000, 0.0000]]}

Entry 2:
{"formula": "BaBPd", "functional": "PBE-GGA", "state": "relaxed", "e_above_lowest_polymorph_mev_per_atom": 0, "lattice": [[2.1898, -1.5591, 3.7864], [-1.4005, 1.3545, 4.2151], [-2.1125, -3.0189, 2.8261]], "species": ["B", "Ba", "Pd"], "frac_coords": [[0.0000, 0.0000, 0.0000], [0.2500, 0.2500, 0.2500], [0.7500, 0.7500, 0.7500]]}

Entry 3:
{"formula": "BaB4Pd", "functional": "PBE-GGA", "state": "relaxed", "e_above_lowest_polymorph_mev_per_atom": 0, "lattice": [[-1.4834, 1.2084, -2.5646], [-1.3455, -2.3897, 1.6482], [-3.7854, 5.3947, 4.7315]], "species": ["B", "B", "B", "B", "Ba", "Pd"], "frac_coords": [[0.6667, 0.3333, 0.1988], [0.3333, 0.6667, 0.1988], [0.6667, 0.3333, 0.8012], [0.3333, 0.6667, 0.8012], [0.0000, 0.0000, 0.5000], [0.0000, 0.0000, 0.0000]]}

Entry 4:
{"formula": "BaBPd4", "functional": "PBE-GGA", "state": "relaxed", "e_tot_ev_per_cell": -128.92, "lattice": [[6.1874, 0.0000, 0.0000], [0.0000, 5.7019, 0.0000], [0.0000, 0.0000, 12.1797]], "species": ["B", "B", "B", "B", "Ba", "Ba", "Ba", "Ba", "Pd", "Pd", "Pd", "Pd", "Pd", "Pd", "Pd", "Pd", "Pd", "Pd", "Pd", "Pd", "Pd", "Pd", "Pd", "Pd"], "frac_coords": [[0.0967, 0.2500, 0.0517], [0.5967, 0.2500, 0.4483], [0.4033, 0.7500, 0.5517], [0.9033, 0.7500, 0.9483], [0.3151, 0.7500, 0.1643], [0.8151, 0.7500, 0.3357], [0.1849, 0.2500, 0.6643], [0.6849, 0.2500, 0.8357], [0.4360, 0.2500, 0.0600], [0.8343, 0.0061, 0.0813], [0.8343, 0.4939, 0.0813], [0.1094, 0.2500, 0.2321], [0.6094, 0.2500, 0.2679], [0.3343, 0.0061, 0.4187], [0.3343, 0.4939, 0.4187], [0.9360, 0.2500, 0.4400], [0.0640, 0.7500, 0.5600], [0.6657, 0.5061, 0.5813], [0.6657, 0.9939, 0.5813], [0.3906, 0.7500, 0.7321], [0.8906, 0.7500, 0.7679], [0.1657, 0.5061, 0.9187], [0.1657, 0.9939, 0.9187], [0.5640, 0.7500, 0.9400]]}

Entry 5:
{"formula": "Ba3B3Pd2", "functional": "PBE-GGA", "state": "relaxed", "e_tot_ev_per_cell": -32.25, "lattice": [[-3.8611, -1.0648, -1.4919], [1.3974, -3.9614, -0.7890], [-3.7234, -3.7684, 12.3262]], "species": ["B", "B", "B", "Ba", "Ba", "Ba", "Pd", "Pd"], "frac_coords": [[0.0000, 0.0000, 0.0000], [0.5000, 0.5000, 0.0000], [0.5000, 0.5000, 0.5000], [0.0000, 0.0000, 0.2123], [0.0000, 0.0000, 0.5000], [0.0000, 0.0000, 0.7877], [0.5000, 0.0000, 0.0003], [0.0000, 0.5000, 0.9997]]}

Entry 6:
{"formula": "BaPmB4", "functional": "PBE-GGA", "state": "relaxed", "e_above_lowest_polymorph_mev_per_atom": 153, "lattice": [[-1.8053, -2.1364, -1.7934], [1.2147, -0.9211, 2.9522], [-7.4419, 2.9464, 3.9813]], "species": ["B", "B", "B", "B", "Ba", "Pm"], "frac_coords": [[0.6667, 0.3333, 0.2229], [0.3333, 0.6667, 0.2229], [0.6667, 0.3333, 0.7771], [0.3333, 0.6667, 0.7771], [0.0000, 0.0000, 0.5000], [0.0000, 0.0000, 0.0000]]}